{"formula": "DyAl3", "functional": "PBEsol", "state": "optimized geometry", "cell": [[4.214, 0.000, 0.000], [0.000, 4.214, 0.000], [0.000, 0.000, 4.214]], "species": ["Al", "Al", "Al", "Dy"], "frac_coords": [[0.000, 0.500, 0.500], [0.500, 0.000, 0.500], [0.500, 0.500, 0.000], [0.000, 0.000, 0.000]], "space_group": "Pm-3m", "formation_enthalpy_0k_mev_per_atom": -444, "e_tot_ev_per_cell": -19.028}

=====

{"formula": "DyAl3", "functional": "PBEsol", "state": "optimized geometry", "cell": [[4.164, 0.000, 0.000], [0.000, 4.164, 0.000], [-2.082, -2.082, 8.819]], "species": ["Al", "Al", "Al", "Al", "Al", "Al", "Dy", "Dy"], "frac_coords": [[0.628, 0.628, 0.255], [0.500, 0.000, 0.000], [0.372, 0.372, 0.745], [0.250, 0.750, 0.500], [0.750, 0.250, 0.500], [0.000, 0.500, 0.000], [0.880, 0.880, 0.761], [0.120, 0.120, 0.239]], "space_group": "I4/mmm", "formation_enthalpy_0k_mev_per_atom": -369, "e_tot_ev_per_cell": -37.458}

=====

{"formula": "DyAl3", "functional": "PBEsol", "state": "optimized geometry", "cell": [[6.099, 0.000, 0.000], [3.050, 5.282, 0.000], [3.050, 1.761, 7.024]], "species": ["Al", "Al", "Al", "Al", "Al", "Al", "Al", "Al", "Al", "Dy", "Dy", "Dy"], "frac_coords": [[0.294, 0.743, 0.668], [0.743, 0.294, 0.668], [0.294, 0.294, 0.668], [0.500, 0.000, 0.000], [0.500, 0.500, 0.000], [0.000, 0.500, 0.000], [0.257, 0.706, 0.332], [0.706, 0.257, 0.332], [0.706, 0.706, 0.332], [0.219, 0.219, 0.343], [0.781, 0.781, 0.657], [0.000, 0.000, 0.000]], "space_group": "R-3m", "formation_enthalpy_0k_mev_per_atom": -445, "e_tot_ev_per_cell": -57.103}

=====

{"formula": "DyAl3", "functional": "PBEsol", "state": "optimized geometry", "cell": [[-5.236, 2.992, -0.466], [2.936, -1.753, -4.989], [-4.710, -8.224, 0.118]], "species": ["Al", "Al", "Al", "Al", "Al", "Al", "Al", "Al", "Al", "Al", "Al", "Al", "Dy", "Dy", "Dy", "Dy"], "frac_coords": [[0.182, 0.818, 0.750], [0.182, 0.363, 0.750], [0.500, 0.000, 0.500], [0.500, 0.500, 0.500], [0.363, 0.182, 0.250], [0.818, 0.637, 0.250], [0.637, 0.818, 0.750], [0.500, 0.500, 0.000], [0.000, 0.500, 0.000], [0.818, 0.182, 0.250], [0.000, 0.500, 0.500], [0.500, 0.000, 0.000], [0.000, 0.000, 0.000], [0.667, 0.333, 0.750], [0.333, 0.667, 0.250], [0.000, 0.000, 0.500]], "space_group": "P6_3/mmc", "formation_enthalpy_0k_mev_per_atom": -448, "e_tot_ev_per_cell": -76.183}

=====

{"formula": "Dy2Al17", "functional": "PBEsol", "state": "optimized geometry", "cell": [[8.822, 0.000, 0.000], [0.000, 9.406, 0.000], [0.000, -4.703, 8.146]], "species": ["Dy", "Dy", "Dy", "Dy", "Al", "Al", "Al", "Al", "Al", "Al", "Al", "Al", "Al", "Al", "Al", "Al", "Al", "Al", "Al", "Al", "Al", "Al", "Al", "Al", "Al", "Al", "Al", "Al", "Al", "Al", "Al", "Al", "Al", "Al", "Al", "Al", "Al", "Al"], "frac_coords": [[0.250, 0.000, 0.000], [0.750, 0.000, 0.000], [0.750, 0.333, 0.667], [0.250, 0.667, 0.333], [0.101, 0.333, 0.667], [0.899, 0.667, 0.333], [0.601, 0.667, 0.333], [0.399, 0.333, 0.667], [0.000, 0.500, 0.500], [0.000, 0.000, 0.500], [0.000, 0.500, 0.000], [0.500, 0.500, 0.500], [0.500, 0.000, 0.500], [0.500, 0.500, 0.000], [0.250, 0.636, 0.673], [0.250, 0.038, 0.364], [0.250, 0.327, 0.962], [0.250, 0.327, 0.364], [0.250, 0.636, 0.962], [0.250, 0.038, 0.673], [0.750, 0.364, 0.327], [0.750, 0.962, 0.636], [0.750, 0.673, 0.038], [0.750, 0.673, 0.636], [0.750, 0.364, 0.038], [0.750, 0.962, 0.327], [0.976, 0.164, 0.836], [0.976, 0.673, 0.836], [0.976, 0.164, 0.327], [0.024, 0.836, 0.164], [0.024, 0.327, 0.164], [0.024, 0.836, 0.673], [0.476, 0.836, 0.164], [0.476, 0.327, 0.164], [0.476, 0.836, 0.673], [0.524, 0.164, 0.836], [0.524, 0.673, 0.836], [0.524, 0.164, 0.327]], "space_group": "P6_3/mmc", "formation_enthalpy_0k_mev_per_atom": -96, "e_tot_ev_per_cell": -162.669}

=====

{"formula": "DyErAl4", "functional": "PBEsol", "state": "optimized geometry", "cell": [[-4.625, -2.651, 1.323], [0.161, -4.220, 3.512], [-2.128, 0.535, 5.035]], "species": ["Dy", "Al", "Al", "Al", "Al", "Er"], "frac_coords": [[0.750, 0.750, 0.750], [0.875, 0.375, 0.375], [0.375, 0.375, 0.375], [0.375, 0.875, 0.375], [0.375, 0.375, 0.875], [0.000, 0.000, 0.000]], "space_group": "F-43m", "formation_enthalpy_0k_mev_per_atom": -524, "e_tot_ev_per_cell": -29.414}